[1]
LuSb | GGA-PBE | optimized geometry

Cell lengths 4.1599, 4.1599, 3.8664 Å; angles 90.00, 90.00, 120.00 degrees
Sites, in units of the cell vectors:
Lu 0.6667 0.3333 0.7500
Sb 0.3333 0.6667 0.2500

The total magnetization is 0.00 μB per cell. The total energy is -5.09 eV/atom.



[2]
Lu5Sb3 | GGA-PBE | optimized geometry

Cell lengths 7.9300, 9.1482, 11.5658 Å; angles 90.00, 90.00, 90.00 degrees
Sites, in units of the cell vectors:
Lu 0.9731 0.2500 0.0097
Lu 0.6945 0.5619 0.0607
Lu 0.6945 0.9381 0.0607
Lu 0.3550 0.7500 0.2151
Lu 0.3139 0.2500 0.2193
Lu 0.8139 0.2500 0.2807
Lu 0.8550 0.7500 0.2849
Lu 0.1945 0.5619 0.4393
Lu 0.1945 0.9381 0.4393
Lu 0.4731 0.2500 0.4903
Lu 0.5269 0.7500 0.5097
Lu 0.8055 0.0619 0.5607
Lu 0.8055 0.4381 0.5607
Lu 0.1450 0.2500 0.7151
Lu 0.1861 0.7500 0.7193
Lu 0.6861 0.7500 0.7807
Lu 0.6450 0.2500 0.7849
Lu 0.3055 0.0619 0.9393
Lu 0.3055 0.4381 0.9393
Lu 0.0269 0.7500 0.9903
Sb 0.5897 0.2500 0.0412
Sb 0.0664 0.5030 0.1736
Sb 0.0664 0.9970 0.1736
Sb 0.5664 0.5030 0.3264
Sb 0.5664 0.9970 0.3264
Sb 0.0897 0.2500 0.4588
Sb 0.9103 0.7500 0.5412
Sb 0.4336 0.0030 0.6736
Sb 0.4336 0.4970 0.6736
Sb 0.9336 0.0030 0.8264
Sb 0.9336 0.4970 0.8264
Sb 0.4103 0.7500 0.9588

The total magnetization is 0.00 μB per cell. The total energy is -5.19 eV/atom.



[3]
LuSb | GGA-PBE | optimized geometry

Cell lengths 4.8346, 4.8346, 4.8346 Å; angles 60.00, 60.00, 60.00 degrees
Sites, in units of the cell vectors:
Lu 0.0000 0.0000 0.0000
Sb 0.2500 0.2500 0.2500

The total magnetization is 0.00 μB per cell. The total energy is -4.85 eV/atom.



[4]
Lu7Sb3 | GGA-PBE | optimized geometry

Cell lengths 11.9579, 11.9579, 11.9579 Å; angles 97.81, 97.81, 136.73 degrees
Sites, in units of the cell vectors:
Lu 0.2500 0.2500 0.0000
Lu 0.7500 0.7500 0.0000
Lu 0.8830 0.1237 0.0067
Lu 0.6237 0.3830 0.0067
Lu 0.6415 0.1415 0.1722
Lu 0.0307 0.5307 0.1722
Lu 0.6170 0.6237 0.2407
Lu 0.1237 0.1170 0.2407
Lu 0.4827 0.8367 0.3194
Lu 0.3367 0.9827 0.3194
Lu 0.0173 0.3367 0.3540
Lu 0.8367 0.5173 0.3540
Lu 0.8585 0.0307 0.5000
Lu 0.7500 0.2500 0.5000
Lu 0.5307 0.3585 0.5000
Lu 0.4693 0.6415 0.5000
Lu 0.2500 0.7500 0.5000
Lu 0.1415 0.9693 0.5000
Lu 0.1633 0.4827 0.6460
Lu 0.9827 0.6633 0.6460
Lu 0.6633 0.0173 0.6806
Lu 0.5173 0.1633 0.6806
Lu 0.3830 0.3763 0.7593
Lu 0.8763 0.8830 0.7593
Lu 0.9693 0.4693 0.8278
Lu 0.3585 0.8585 0.8278
Lu 0.3763 0.6170 0.9933
Lu 0.1170 0.8763 0.9933
Sb 0.2797 0.7797 0.0593
Sb 0.4474 0.2500 0.1974
Sb 0.2500 0.4474 0.1974
Sb 0.9474 0.7500 0.1974
Sb 0.7500 0.9474 0.1974
Sb 0.2203 0.2797 0.5000
Sb 0.7797 0.7203 0.5000
Sb 0.2500 0.0526 0.8026
Sb 0.0526 0.2500 0.8026
Sb 0.7500 0.5526 0.8026
Sb 0.5526 0.7500 0.8026
Sb 0.7203 0.2203 0.9407

The total magnetization is 0.09 μB per cell. The total energy is -5.05 eV/atom.



[5]
LuSb | GGA-PBE | optimized geometry

Cell lengths 4.3067, 4.3067, 4.3067 Å; angles 60.00, 60.00, 60.00 degrees
Sites, in units of the cell vectors:
Lu 0.0000 0.0000 0.0000
Sb 0.5000 0.5000 0.5000

The total magnetization is 0.00 μB per cell. The total energy is -5.34 eV/atom.



[6]
LuScSb | GGA-PBE | optimized geometry

Cell lengths 4.8719, 4.8719, 4.8719 Å; angles 60.00, 60.00, 60.00 degrees
Last column: magnetic moment on the atom in μB.
Sites, in units of the cell vectors:
Lu 0.2500 0.2500 0.2500  0.08
Sb 0.0000 0.0000 0.0000  -0.01
Sc 0.7500 0.7500 0.7500  0.13

The total magnetization is 0.31 μB per cell. The total energy is -5.42 eV/atom.



[7]
LuSc2Sb | GGA-PBE | optimized geometry

Cell lengths 5.0700, 5.0700, 5.0700 Å; angles 60.00, 60.00, 60.00 degrees
Sites, in units of the cell vectors:
Lu 0.2500 0.2500 0.2500
Sb 0.5000 0.5000 0.5000
Sc 0.0000 0.0000 0.0000
Sc 0.7500 0.7500 0.7500

The total magnetization is 0.05 μB per cell. The total energy is -5.55 eV/atom.



[8]
LuScSb2 | GGA-PBE | optimized geometry

Cell lengths 5.2124, 5.2124, 5.2124 Å; angles 60.00, 60.00, 60.00 degrees
Sites, in units of the cell vectors:
Lu 0.0000 0.0000 0.0000
Sb 0.5000 0.5000 0.5000
Sb 0.7500 0.7500 0.7500
Sc 0.2500 0.2500 0.2500

The total magnetization is 0.02 μB per cell. The total energy is -4.98 eV/atom.



[9]
SmLuSc2Sb2 | GGA-PBE | optimized geometry

Cell lengths 8.6983, 8.6983, 8.6983 Å; angles 151.00, 151.00, 41.47 degrees
Last column: magnetic moment on the atom in μB.
Sites, in units of the cell vectors:
Lu 0.6748 0.6748 0.0000  0.02
Sb 0.1307 0.1307 0.0000  0.00
Sb 0.8692 0.8692 0.0000  0.00
Sc 0.5011 0.0011 0.5000  0.31
Sc 0.0011 0.5011 0.5000  0.30
Sm 0.3231 0.3231 0.0000  0.01

The total magnetization is 0.91 μB per cell. The total energy is -5.83 eV/atom.



[10]
LuZrSc2Sb2 | GGA-PBE | optimized geometry

Cell lengths 8.5711, 8.5711, 8.5711 Å; angles 151.69, 151.69, 40.46 degrees
Last column: magnetic moment on the atom in μB.
Sites, in units of the cell vectors:
Lu 0.3208 0.3208 0.0000  0.01
Sb 0.1346 0.1346 0.0000  0.00
Sb 0.8652 0.8652 0.0000  0.00
Sc 0.5019 0.0019 0.5000  0.23
Sc 0.0019 0.5019 0.5000  0.22
Zr 0.6756 0.6756 0.0000  0.01

The total magnetization is 0.64 μB per cell. The total energy is -6.36 eV/atom.